Here is an optimized crystal structure of Sm2InOs from the Alexandria database. Energies are from PBE.

Cell and atoms, written as extended XYZ:
```
4
Lattice="1.9847 1.1458 9.9251 -1.9847 1.1458 9.9251 0.0000 -2.2917 9.9251" Properties=species:S:1:pos:R:3 pbc="T T T"
Sm 0.0000 0.0000 3.3922
Sm 0.0000 0.0000 26.3831
In 0.0000 0.0000 0.0000
Os 0.0000 0.0000 14.8877
```

Computed properties:
**Fermi-level density of states**: 3.164 states/eV per cell
**Offset from the most stable computed form**: 441 meV/atom
**ΔE_f**: 0.19 eV/atom
**Mass density**: 7.428 Mg/m³
**Electronic total energy**: -22.64 eV for the cell shown


Here is an optimized crystal structure of Sm6In2Os from the Alexandria database. Energies are from PBE.

Cell and atoms, written as extended XYZ:
```
9
Lattice="3.9437 0.0000 0.0000 0.0000 7.5523 4.4069 0.0000 -7.5523 4.4069" Properties=species:S:1:pos:R:3 pbc="T T T"
Sm 0.0000 0.0000 0.0000
Sm 0.0000 -1.7782 5.5461
Sm 0.0000 1.7782 5.5461
Sm 1.9719 -4.6264 3.9129
Sm 1.9719 0.0000 3.1489
Sm 1.9719 4.6264 3.9129
In 0.0000 -2.5458 2.2065
In 0.0000 2.5458 2.2065
Os 1.9719 0.0000 6.7353
```

Computed properties:
**Fermi-level density of states**: 9.499 states/eV per cell
**Offset from the most stable computed form**: 0 meV/atom
**ΔE_f**: -0.28 eV/atom
**Mass density**: 8.363 Mg/m³
**Electronic total energy**: -47.56 eV for the cell shown